Computed, not measured: an optimized crystal structure of Sm2ZnIr at the PBE-GGA level of DFT.

Unit cell a=5.0370 b=5.0370 c=5.0370 alpha=60.00 beta=60.00 gamma=60.00
Fractional positions:
Sm (0.2500, 0.2500, 0.2500)
Sm (0.7500, 0.7500, 0.7500)
Zn (0.0000, 0.0000, 0.0000)
Ir (0.5000, 0.5000, 0.5000)

Summary:
Fermi-level density of states = 0.464 states/eV/atom
E_form = -530 meV/atom
space-group type = Fm-3m
calculated total energy = -5.42 eV/atom